[1]
A geometry-optimized Ho2Mo3O12 structure, computed with PBEsol.

abc: 10.250 10.276 10.524
angles: 90.00 90.00 90.00
Space group Pba2 (No. 32)
Unique sites:
1 Ho 0.006 0.186 0.000 (multiplicity 4)
2 Ho 0.186 0.504 0.474 (multiplicity 4)
3 Mo 0.003 0.794 0.380 (multiplicity 4)
4 Mo 0.205 0.510 0.093 (multiplicity 4)
5 Mo 0.243 0.756 0.737 (multiplicity 4)
6 O 0.005 0.374 0.429 (multiplicity 4)
7 O 0.019 0.195 0.216 (multiplicity 4)
8 O 0.116 0.380 0.029 (multiplicity 4)
9 O 0.122 0.829 0.831 (multiplicity 4)
10 O 0.123 0.118 0.455 (multiplicity 4)
11 O 0.127 0.995 0.046 (multiplicity 4)
12 O 0.142 0.181 0.838 (multiplicity 4)
13 O 0.151 0.662 0.040 (multiplicity 4)
14 O 0.158 0.851 0.422 (multiplicity 4)
15 O 0.171 0.640 0.636 (multiplicity 4)
16 O 0.182 0.375 0.641 (multiplicity 4)
17 O 0.193 0.510 0.259 (multiplicity 4)

Results
* total magnetization: 0.0 μB per formula unit
* uncorrected energy: -8.916 eV/atom
* ΔE_f (raw): -2.551 eV per atom

***

[2]
A geometry-optimized Ho2MoO6 structure, computed with PBEsol.

abc: 16.166 10.895 5.287
angles: 90.00 108.11 90.00
Space group C2/c (No. 15)
Unique sites:
1 Ho 0.000 0.107 0.250 (multiplicity 4)
2 Ho 0.000 0.364 0.750 (multiplicity 4)
3 Ho 0.168 0.117 0.879 (multiplicity 8)
4 Mo 0.154 0.358 0.437 (multiplicity 8)
5 O 0.073 0.236 0.582 (multiplicity 8)
6 O 0.080 0.469 0.485 (multiplicity 8)
7 O 0.091 0.018 0.079 (multiplicity 8)
8 O 0.105 0.279 0.125 (multiplicity 8)
9 O 0.229 0.296 0.742 (multiplicity 8)
10 O 0.236 0.449 0.360 (multiplicity 8)

Results
* total magnetization: 0.0 μB per formula unit
* uncorrected energy: -8.927 eV/atom
* ΔE_f (raw): -3.020 eV per atom

***

[3]
A geometry-optimized RbHoMo2O8 structure, computed with PBEsol.

abc: 10.552 10.289 7.606
angles: 90.00 130.85 90.00
Space group C2/c (No. 15)
Unique sites:
1 Rb 0.000 0.196 0.250 (multiplicity 4)
2 Ho 0.000 0.230 0.750 (multiplicity 4)
3 Mo 0.196 0.499 0.238 (multiplicity 8)
4 O 0.024 0.391 0.970 (multiplicity 8)
5 O 0.127 0.079 0.696 (multiplicity 8)
6 O 0.190 0.424 0.438 (multiplicity 8)
7 O 0.228 0.158 0.125 (multiplicity 8)

Results
* total magnetization: 0.0 μB per formula unit
* uncorrected energy: -8.419 eV/atom
* ΔE_f (raw): -2.460 eV per atom

***

[4]
A geometry-optimized HoSbMo2O9 structure, computed with PBEsol.

abc: 12.823 13.997 10.645
angles: 90.00 124.16 90.00
Space group C2/c (No. 15)
Unique sites:
1 Ho 0.000 0.126 0.250 (multiplicity 4)
2 Ho 0.000 0.330 0.750 (multiplicity 4)
3 Sb 0.137 0.481 0.535 (multiplicity 8)
4 Mo 0.154 0.107 0.028 (multiplicity 8)
5 Mo 0.246 0.190 0.695 (multiplicity 8)
6 O 0.019 0.441 0.603 (multiplicity 8)
7 O 0.081 0.013 0.900 (multiplicity 8)
8 O 0.082 0.214 0.933 (multiplicity 8)
9 O 0.117 0.262 0.272 (multiplicity 8)
10 O 0.135 0.088 0.178 (multiplicity 8)
11 O 0.139 0.166 0.502 (multiplicity 8)
12 O 0.178 0.272 0.755 (multiplicity 8)
13 O 0.186 0.409 0.922 (multiplicity 8)
14 O 0.216 0.422 0.203 (multiplicity 8)

Results
* total magnetization: 0.0 μB per formula unit
* uncorrected energy: -8.414 eV/atom
* ΔE_f (raw): -2.238 eV per atom

***

- What is the uncorrected energy in the fourth record?
  -8.414 eV/atom

***

Please write out number 1 again, unchanged.
A geometry-optimized Ho2Mo3O12 structure, computed with PBEsol.

abc: 10.250 10.276 10.524
angles: 90.00 90.00 90.00
Space group Pba2 (No. 32)
Unique sites:
1 Ho 0.006 0.186 0.000 (multiplicity 4)
2 Ho 0.186 0.504 0.474 (multiplicity 4)
3 Mo 0.003 0.794 0.380 (multiplicity 4)
4 Mo 0.205 0.510 0.093 (multiplicity 4)
5 Mo 0.243 0.756 0.737 (multiplicity 4)
6 O 0.005 0.374 0.429 (multiplicity 4)
7 O 0.019 0.195 0.216 (multiplicity 4)
8 O 0.116 0.380 0.029 (multiplicity 4)
9 O 0.122 0.829 0.831 (multiplicity 4)
10 O 0.123 0.118 0.455 (multiplicity 4)
11 O 0.127 0.995 0.046 (multiplicity 4)
12 O 0.142 0.181 0.838 (multiplicity 4)
13 O 0.151 0.662 0.040 (multiplicity 4)
14 O 0.158 0.851 0.422 (multiplicity 4)
15 O 0.171 0.640 0.636 (multiplicity 4)
16 O 0.182 0.375 0.641 (multiplicity 4)
17 O 0.193 0.510 0.259 (multiplicity 4)

Results
* total magnetization: 0.0 μB per formula unit
* uncorrected energy: -8.916 eV/atom
* ΔE_f (raw): -2.551 eV per atom

***

- Which of these has the lowest ΔE_f (raw)?
  Ho2MoO6

***

- Which formula does entry 1 have?
  Ho2Mo3O12